Crystalline Rb2Zr2PaSe6 at its relaxed geometry, computed with PBE.

Geometry as extended XYZ:
```
11
Lattice="3.3971 -5.9259 0.0000 3.3971 5.9259 0.0000 -2.2686 0.0000 8.3710" Properties=species:S:1:pos:R:3 pbc="T T T"
Rb 3.3971 3.9742 0.0000
Rb 3.3971 -3.9742 0.0000
Zr 2.2628 1.9902 4.1855
Zr 2.2628 -1.9902 4.1855
Pa -1.1343 0.0000 4.1855
Se 0.0281 2.0081 5.8148
Se 1.2069 0.0000 2.5634
Se 0.0281 -2.0081 5.8148
Se 4.4976 2.0081 2.5562
Se 3.3188 0.0000 5.8076
Se 4.4976 -2.0081 2.5562
```

Computed properties:
D(E_F) = 0.635 states/eV per atom
calculated volume = 30.6 A^3/atom
symmetry = C2/m (12)
E_form (uncorrected) = -1380.3 meV per atom

---

Crystalline Rb3Zr2PaSe6 at its relaxed geometry, computed with PBE.

Geometry as extended XYZ:
```
12
Lattice="3.4686 -6.0063 0.0000 3.4686 6.0063 0.0000 -2.3137 0.0000 8.1706" Properties=species:S:1:pos:R:3 pbc="T T T"
Rb 0.0000 0.0000 0.0000
Rb 3.4686 1.9921 0.0000
Rb 3.4686 -1.9921 0.0000
Zr 2.3117 4.0039 4.0853
Zr 2.3117 -4.0039 4.0853
Pa 2.3117 0.0000 4.0853
Se 1.1326 2.0425 2.4708
Se -0.0477 0.0000 5.6969
Se 1.1326 -2.0425 2.4708
Se 3.4908 2.0425 5.6998
Se 4.6711 0.0000 2.4738
Se 3.4908 -2.0425 5.6998
```

Computed properties:
D(E_F) = 0.711 states/eV per atom
calculated volume = 28.4 A^3/atom
symmetry = C2/m (12)
E_form (uncorrected) = -1307.6 meV per atom

---

Crystalline Rb2SmPa2Te6 at its relaxed geometry, computed with PBE.

Geometry as extended XYZ:
```
11
Lattice="3.8393 -6.6640 0.0000 3.8393 6.6640 0.0000 -2.5249 0.0000 8.8946" Properties=species:S:1:pos:R:3 pbc="T T T"
Rb 3.8393 4.4689 0.0000
Rb 3.8393 -4.4689 0.0000
Sm -1.2625 0.0000 4.4473
Pa 2.5768 2.2228 4.4473
Pa 2.5768 -2.2228 4.4473
Te 0.0432 2.2473 6.2420
Te 1.3573 0.0000 2.6518
Te 0.0432 -2.2473 6.2420
Te 5.1105 2.2473 2.6526
Te 3.7963 0.0000 6.2428
Te 5.1105 -2.2473 2.6526
```

Computed properties:
D(E_F) = 1.323 states/eV per atom
calculated volume = 41.4 A^3/atom
symmetry = C2/m (12)
E_form (uncorrected) = -1071.4 meV per atom

---

Q: Number 3 is which compound?
A: Rb2SmPa2Te6